Entry 1:
Entry from Alexandria: a geometry-optimized Sr2CdNiGe structure (PBE).

The structure in POSCAR format:
```
Sr2CdNiGe
1.0
5.778 0.000 0.000
0.000 5.778 0.000
0.000 0.000 4.464
Sr Cd Ni Ge
2 1 1 1
Direct
0.000 0.500 0.000 Sr
0.500 0.000 0.000 Sr
0.000 0.000 0.500 Cd
0.500 0.500 0.000 Ni
0.500 0.500 0.500 Ge
```

Calculated values
symmetry: No. 123
density of states at the Fermi level: 3.34 states/eV/cell
E_form: -295 meV per atom

Entry 2:
Entry from Alexandria: a geometry-optimized CdTcNiGe2 structure (PBE).

The structure in POSCAR format:
```
CdTcNiGe2
1.0
4.971 0.000 0.000
0.000 4.971 0.000
0.000 0.000 4.684
Cd Tc Ni Ge
1 1 1 2
Direct
0.000 0.000 0.000 Cd
0.500 0.500 0.500 Tc
0.000 0.000 0.500 Ni
0.000 0.500 0.000 Ge
0.500 0.000 0.000 Ge
```

Calculated values
symmetry: No. 123
density of states at the Fermi level: 4.29 states/eV/cell
offset from the most stable computed form: 92.2 kJ per mole of atoms
E_form: 1573 meV per atom

Entry 3:
Entry from Alexandria: a geometry-optimized CdTcNiGe2 structure (PBE).

The structure in POSCAR format:
```
CdTcNiGe2
1.0
4.424 0.000 0.000
0.000 4.424 0.000
0.000 0.000 4.989
Cd Tc Ni Ge
1 1 1 2
Direct
0.000 0.000 0.000 Cd
0.500 0.500 0.000 Tc
0.500 0.500 0.500 Ni
0.000 0.500 0.500 Ge
0.500 0.000 0.500 Ge
```

Calculated values
symmetry: No. 123
density of states at the Fermi level: 3.42 states/eV/cell
offset from the most stable computed form: 0.0 kJ per mole of atoms
E_form: 617 meV per atom

Entry 4:
Entry from Alexandria: a geometry-optimized CdNi2GeTe structure (PBE).

The structure in POSCAR format:
```
CdNi2GeTe
1.0
4.390 0.000 0.000
0.000 4.390 0.000
0.000 0.000 5.883
Cd Ni Ge Te
1 2 1 1
Direct
0.000 0.000 0.000 Cd
0.000 0.500 0.500 Ni
0.500 0.000 0.500 Ni
0.500 0.500 0.500 Ge
0.500 0.500 0.000 Te
```

Calculated values
symmetry: No. 123
density of states at the Fermi level: 3.27 states/eV/cell
formation energy without anion corrections: 532 meV/atom

Entry 5:
Entry from Alexandria: a geometry-optimized ThCdNi5Ge2 structure (PBE).

The structure in POSCAR format:
```
ThCdNi5Ge2
1.0
4.243 0.000 0.000
0.000 4.243 0.000
0.000 0.000 7.970
Th Cd Ni Ge
1 1 5 2
Direct
0.000 0.000 0.000 Th
0.000 0.000 0.500 Cd
0.000 0.500 0.225 Ni
0.000 0.500 0.775 Ni
0.500 0.000 0.225 Ni
0.500 0.000 0.775 Ni
0.500 0.500 0.000 Ni
0.500 0.500 0.345 Ge
0.500 0.500 0.655 Ge
```

Calculated values
symmetry: No. 123
density of states at the Fermi level: 4.05 states/eV/cell
E_form: -189 meV per atom

Entry 6:
Entry from Alexandria: a geometry-optimized TlCd2NiGe structure (PBE).

The structure in POSCAR format:
```
TlCd2NiGe
1.0
5.116 0.000 0.000
0.000 5.116 0.000
0.000 0.000 4.480
Tl Cd Ni Ge
1 2 1 1
Direct
0.000 0.000 0.000 Tl
0.000 0.500 0.500 Cd
0.500 0.000 0.500 Cd
0.500 0.500 0.500 Ni
0.500 0.500 0.000 Ge
```

Calculated values
symmetry: No. 123
density of states at the Fermi level: 2.59 states/eV/cell
E_form: 41 meV per atom

Entry 7:
Entry from Alexandria: a geometry-optimized NpCdGe2 structure (PBE).

The structure in POSCAR format:
```
NpCdGe2
1.0
3.566 0.000 0.000
0.000 3.566 0.000
0.000 0.000 6.676
Np Cd Ge
1 1 2
Direct
0.000 0.000 0.000 Np
0.000 0.000 0.500 Cd
0.500 0.500 0.278 Ge
0.500 0.500 0.722 Ge
```

Calculated values
symmetry: No. 123
density of states at the Fermi level: 5.92 states/eV/cell
offset from the most stable computed form: 22.6 kJ per mole of atoms
E_form: 129 meV per atom

Entry 8:
Entry from Alexandria: a geometry-optimized NpCdGe structure (PBE).

The structure in POSCAR format:
```
NpCdGe
1.0
5.806 0.000 0.000
0.000 5.862 0.000
-0.270 0.000 7.655
Np Cd Ge
4 4 4
Direct
0.000 0.221 0.000 Np
0.000 0.779 0.000 Np
0.500 0.279 0.000 Np
0.500 0.721 0.000 Np
0.235 0.500 0.648 Cd
0.265 0.000 0.352 Cd
0.735 0.000 0.648 Cd
0.765 0.500 0.352 Cd
0.248 0.000 0.713 Ge
0.252 0.500 0.287 Ge
0.748 0.500 0.713 Ge
0.752 0.000 0.287 Ge
```

Calculated values
symmetry: No. 12
density of states at the Fermi level: 17.61 states/eV/cell
E_form: 75 meV per atom

Entry 9:
Entry from Alexandria: a geometry-optimized NpCdGe2 structure (PBE).

The structure in POSCAR format:
```
NpCdGe2
1.0
4.719 0.000 0.000
-2.360 4.087 0.000
0.000 0.000 21.104
Np Cd Ge
3 3 6
Direct
0.000 0.000 0.000 Np
0.333 0.667 0.667 Np
0.667 0.333 0.333 Np
0.000 0.000 0.500 Cd
0.333 0.667 0.167 Cd
0.667 0.333 0.833 Cd
0.000 0.000 0.376 Ge
0.000 0.000 0.624 Ge
0.333 0.667 0.042 Ge
0.333 0.667 0.291 Ge
0.667 0.333 0.709 Ge
0.667 0.333 0.958 Ge
```

Calculated values
symmetry: No. 166
density of states at the Fermi level: 32.17 states/eV/cell
offset from the most stable computed form: 64.1 kJ per mole of atoms
E_form: 559 meV per atom

Entry 10:
Entry from Alexandria: a geometry-optimized NpCdGe2 structure (PBE).

The structure in POSCAR format:
```
NpCdGe2
1.0
4.558 0.000 0.000
0.000 4.558 0.000
0.000 0.000 3.980
Np Cd Ge
1 1 2
Direct
0.000 0.000 0.000 Np
0.500 0.500 0.000 Cd
0.000 0.500 0.500 Ge
0.500 0.000 0.500 Ge
```

Calculated values
symmetry: No. 123
density of states at the Fermi level: 7.79 states/eV/cell
offset from the most stable computed form: 0.0 kJ per mole of atoms
E_form: -106 meV per atom

Entry 11:
Entry from Alexandria: a geometry-optimized NpCdGeO6 structure (PBE).

The structure in POSCAR format:
```
NpCdGeO6
1.0
5.303 0.000 0.000
-2.652 4.593 0.000
0.000 0.000 9.795
Np Cd Ge O
2 2 2 12
Direct
0.333 0.667 0.250 Np
0.667 0.333 0.750 Np
0.000 0.000 0.000 Cd
0.000 0.000 0.500 Cd
0.333 0.667 0.750 Ge
0.667 0.333 0.250 Ge
0.022 0.371 0.640 O
0.022 0.651 0.860 O
0.349 0.371 0.860 O
0.349 0.978 0.640 O
0.371 0.022 0.140 O
0.371 0.349 0.360 O
0.629 0.651 0.640 O
0.629 0.978 0.860 O
0.651 0.022 0.360 O
0.651 0.629 0.140 O
0.978 0.349 0.140 O
0.978 0.629 0.360 O
```

Calculated values
symmetry: No. 163
density of states at the Fermi level: 0.72 states/eV/cell
formation energy without anion corrections: -1916 meV/atom

Entry 12:
Entry from Alexandria: a geometry-optimized Np2CdGe3Pt4 structure (PBE).

The structure in POSCAR format:
```
Np2CdGe3Pt4
1.0
4.102 0.000 0.000
0.000 4.102 0.000
0.000 0.000 11.541
Np Cd Ge Pt
2 1 3 4
Direct
0.000 0.500 0.243 Np
0.500 0.000 0.757 Np
0.000 0.000 0.500 Cd
0.000 0.500 0.870 Ge
0.500 0.000 0.130 Ge
0.500 0.500 0.500 Ge
0.000 0.000 0.000 Pt
0.000 0.500 0.659 Pt
0.500 0.000 0.341 Pt
0.500 0.500 0.000 Pt
```

Calculated values
symmetry: No. 115
density of states at the Fermi level: 18.80 states/eV/cell
E_form: -463 meV per atom